Compound: YAl2Tc
Source: the Open Quantum Materials Database
Functional: GGA-PBE
Structure: optimized geometry

abc: 4.6607 4.6607 4.6607
angles: 60.00 60.00 60.00
Closest atoms and distances in Å follow each position.
Element x y z (fractional)
1 Al 0.5000 0.5000 0.5000  4 Y 2.85, 4 Al 2.85
2 Tc 0.0000 0.0000 0.0000  4 Y 2.85, 4 Al 2.85
3 Y 0.7500 0.7500 0.7500  4 Al 2.85, 4 Tc 2.85
4 Al 0.2500 0.2500 0.2500  4 Al 2.85, 4 Tc 2.85

Output
The value obtained for the uncorrected energy is -6.15 eV per atom. As for the crystal system: cubic.